{
  "formula": "CdCuNi2F8",
  "functional": "PBE+U",
  "state": "relaxed",
  "lattice": [[-1.105, -1.292, -4.559], [2.731, -4.067, 0.325], [-5.089, -3.250, 2.151]],
  "species": ["Cd", "Cu", "Ni", "Ni", "F", "F", "F", "F", "F", "F", "F", "F"],
  "frac_coords": [[0.000, 0.000, 0.500], [0.000, 0.000, 0.000], [0.500, 0.500, 0.760], [0.500, 0.500, 0.240], [0.206, 0.804, 0.226], [0.692, 0.682, 0.000], [0.795, 0.196, 0.226], [0.794, 0.196, 0.774], [0.308, 0.318, 0.000], [0.205, 0.804, 0.774], [0.682, 0.673, 0.500], [0.318, 0.327, 0.500]],
  "e_tot_ev_per_atom": -4.074,
  "dos_ef_per_ev_cell": 4.27
}